[1]
# PBE DyScNiIr, relaxed
# ΔH_f (0 K): -685.9 meV per atom
# Total moment: 0.000 μB per atom
# Space group: No. 216
# Total energy: -7.0799 eV per atom
data_DyScNiIr
_chemical_formula_sum 'Dy1 Sc1 Ni1 Ir1'
_symmetry_space_group_name_H-M 'P 1'
_symmetry_Int_Tables_number 1
_cell_length_a 4.6850
_cell_length_b 4.6850
_cell_length_c 4.6850
_cell_angle_alpha 60.00
_cell_angle_beta 60.00
_cell_angle_gamma 60.00
loop_
_symmetry_equiv_pos_as_xyz
'x,y,z'
loop_
_atom_site_label
_atom_site_fract_x
_atom_site_fract_y
_atom_site_fract_z
Ir1 0.7500 0.7500 0.7500
Sc1 0.5000 0.5000 0.5000
Ni1 0.2500 0.2500 0.2500
Dy1 0.0000 0.0000 0.0000

[2]
# PBE Dy2Si3Ni12Ir, relaxed
# Total moment: 0.000 μB per atom
# Formation energy without anion corrections: -0.065 eV per atom
# Space group: No. 166
# Total energy: -5.8264 eV per atom
data_Dy2Si3Ni12Ir
_chemical_formula_sum 'Dy2 Si3 Ni12 Ir1'
_symmetry_space_group_name_H-M 'P 1'
_symmetry_Int_Tables_number 1
_cell_length_a 6.2660
_cell_length_b 6.2660
_cell_length_c 6.2660
_cell_angle_alpha 85.09
_cell_angle_beta 85.09
_cell_angle_gamma 85.09
loop_
_symmetry_equiv_pos_as_xyz
'x,y,z'
loop_
_atom_site_label
_atom_site_fract_x
_atom_site_fract_y
_atom_site_fract_z
Ni1 0.3944 0.8878 0.3944
Ni2 0.8070 0.8070 0.3002
Ni3 0.6056 0.1122 0.6056
Ni4 0.1122 0.6056 0.6056
Si1 0.0000 0.5000 0.0000
Si2 0.5000 0.0000 0.0000
Ni5 0.3944 0.3944 0.8878
Ni6 0.6998 0.1930 0.1930
Ir1 0.0000 0.0000 0.0000
Ni7 0.1930 0.6998 0.1930
Ni8 0.1930 0.1930 0.6998
Ni9 0.6056 0.6056 0.1122
Ni10 0.8878 0.3944 0.3944
Dy1 0.3141 0.3141 0.3141
Ni11 0.3002 0.8070 0.8070
Ni12 0.8070 0.3002 0.8070
Dy2 0.6859 0.6859 0.6859
Si3 0.0000 0.0000 0.5000

[3]
# PBE Dy2Si3Ni4Ir, relaxed
# Total moment: 0.000 μB per atom
# Formation energy without anion corrections: -0.713 eV per atom
# Space group: No. 115
# Total energy: -6.4591 eV per atom
data_Dy2Si3Ni4Ir
_chemical_formula_sum 'Dy2 Si3 Ni4 Ir1'
_symmetry_space_group_name_H-M 'P 1'
_symmetry_Int_Tables_number 1
_cell_length_a 3.9090
_cell_length_b 3.9090
_cell_length_c 9.9721
_cell_angle_alpha 90.00
_cell_angle_beta 90.00
_cell_angle_gamma 90.00
loop_
_symmetry_equiv_pos_as_xyz
'x,y,z'
loop_
_atom_site_label
_atom_site_fract_x
_atom_site_fract_y
_atom_site_fract_z
Si1 0.0000 0.5000 0.1235
Dy1 0.0000 0.5000 0.7526
Ni1 0.0000 0.0000 0.0000
Ir1 0.5000 0.5000 0.5000
Ni2 0.5000 0.0000 0.6478
Ni3 0.5000 0.5000 0.0000
Ni4 0.0000 0.5000 0.3522
Si2 0.0000 0.0000 0.5000
Dy2 0.5000 0.0000 0.2474
Si3 0.5000 0.0000 0.8765

[4]
# PBE Dy3Si6Ni2Ir, relaxed
# Total moment: 0.000 μB per atom
# Formation energy without anion corrections: -0.388 eV per atom
# Space group: No. 164
# Total energy: -5.9515 eV per atom
data_Dy3Si6Ni2Ir
_chemical_formula_sum 'Dy3 Si6 Ni2 Ir1'
_symmetry_space_group_name_H-M 'P 1'
_symmetry_Int_Tables_number 1
_cell_length_a 5.6802
_cell_length_b 5.6802
_cell_length_c 7.6929
_cell_angle_alpha 90.00
_cell_angle_beta 90.00
_cell_angle_gamma 120.00
loop_
_symmetry_equiv_pos_as_xyz
'x,y,z'
loop_
_atom_site_label
_atom_site_fract_x
_atom_site_fract_y
_atom_site_fract_z
Dy1 0.6667 0.3333 0.3800
Dy2 0.3333 0.6667 0.6200
Dy3 0.0000 0.0000 0.0000
Si1 0.8089 0.6177 0.7149
Si2 0.6177 0.8089 0.2851
Si3 0.1911 0.8089 0.2851
Ni1 0.6667 0.3333 0.9580
Ni2 0.3333 0.6667 0.0420
Si4 0.8089 0.1911 0.7149
Si5 0.3823 0.1911 0.7149
Ir1 0.0000 0.0000 0.5000
Si6 0.1911 0.3823 0.2851

[5]
# PBE DySi2NiIr, relaxed
# Total moment: 0.000 μB per atom
# Formation energy without anion corrections: -0.933 eV per atom
# Space group: No. 119
# Total energy: -6.9507 eV per atom
data_DySi2NiIr
_chemical_formula_sum 'Dy1 Si2 Ni1 Ir1'
_symmetry_space_group_name_H-M 'P 1'
_symmetry_Int_Tables_number 1
_cell_length_a 3.9835
_cell_length_b 3.9835
_cell_length_c 5.7332
_cell_angle_alpha 110.33
_cell_angle_beta 110.33
_cell_angle_gamma 90.00
loop_
_symmetry_equiv_pos_as_xyz
'x,y,z'
loop_
_atom_site_label
_atom_site_fract_x
_atom_site_fract_y
_atom_site_fract_z
Dy1 0.0000 0.0000 0.0000
Si1 0.3801 0.3801 0.7602
Ni1 0.2500 0.7500 0.5000
Si2 0.6199 0.6199 0.2398
Ir1 0.7500 0.2500 0.5000

[6]
# PBE DyNiSnIr, relaxed
# ΔH_f (0 K): -497.3 meV per atom
# Total moment: 0.000 μB per atom
# Space group: No. 216
# Total energy: -6.3091 eV per atom
data_DyNiSnIr
_chemical_formula_sum 'Dy1 Ni1 Sn1 Ir1'
_symmetry_space_group_name_H-M 'P 1'
_symmetry_Int_Tables_number 1
_cell_length_a 4.6715
_cell_length_b 4.6715
_cell_length_c 4.6715
_cell_angle_alpha 60.00
_cell_angle_beta 60.00
_cell_angle_gamma 60.00
loop_
_symmetry_equiv_pos_as_xyz
'x,y,z'
loop_
_atom_site_label
_atom_site_fract_x
_atom_site_fract_y
_atom_site_fract_z
Sn1 0.2500 0.2500 0.2500
Ni1 0.5000 0.5000 0.5000
Ir1 0.0000 0.0000 0.0000
Dy1 0.7500 0.7500 0.7500